(1)
A plane-wave DFT calculation with GGA-PBE was carried out for a relaxed structure of KCaAuSe2.

a b c (Å): 5.482 7.629 8.598
angles (deg): 116.34 90.00 90.00
Fractional positions:
Au (0.000, 0.500, 0.000)
Au (0.000, 0.000, 0.000)
Se (0.289, 0.378, 0.756)
Se (0.289, 0.122, 0.244)
Se (0.711, 0.878, 0.756)
Se (0.711, 0.622, 0.244)
K (0.791, 0.250, 0.500)
K (0.209, 0.750, 0.500)
Ca (0.500, 0.250, 0.000)
Ca (0.500, 0.750, 0.000)

energy	-3.84	eV/atom
energy relative to the elements, uncorrected	-1169	meV per atom
V	32.2	Å³ per atom

=====

(2)
A plane-wave DFT calculation with GGA-PBE was carried out for a relaxed structure of Li2HfMnRu.

a b c (Å): 4.825 4.593 4.825
angles (deg): 90.00 90.00 90.00
Site moments in Bohr magnetons follow the coordinates.
Fractional positions:
Hf (0.000, 0.000, 0.000)  -0.02
Li (0.000, 0.000, 0.500)  0.00
Li (0.500, 0.000, 0.000)  -0.01
Ru (0.000, 0.500, 0.000)  0.15
Mn (0.500, 0.500, 0.500)  -0.28

energy relative to the elements	1.793	eV/atom
energy	-4.65	eV/atom
V	21.4	Å³ per atom

=====

(3)
A plane-wave DFT calculation with GGA-PBE was carried out for a relaxed structure of KCd3Pt.

a b c (Å): 4.013 4.013 8.809
angles (deg): 90.00 90.00 90.00
Fractional positions:
Cd (0.500, 0.000, 0.419)
Cd (0.000, 0.500, 0.419)
Cd (0.000, 0.000, 0.701)
Pt (0.500, 0.500, 0.660)
K (0.000, 0.000, 0.065)

offset from the most stable computed form	20.5	kJ/mol of atoms
energy relative to the elements	-0.042	eV/atom
energy	-2.02	eV/atom
V	28.4	Å³ per atom

=====

(4)
A plane-wave DFT calculation with GGA-PBE was carried out for a relaxed structure of SnTe2CN.

a b c (Å): 4.688 4.471 4.688
angles (deg): 90.00 90.00 90.00
Site moments in Bohr magnetons follow the coordinates.
Fractional positions:
Te (0.000, 0.000, 0.500)  0.02
Te (0.500, 0.000, 0.000)  0.00
C (0.000, 0.500, 0.000)  0.55
Sn (0.500, 0.500, 0.500)  0.00
N (0.000, 0.000, 0.000)  0.01

offset from the most stable computed form	74.2	kJ/mol of atoms
energy	-3.91	eV/atom
energy relative to the elements, uncorrected	1653	meV per atom
V	19.7	Å³ per atom

=====

(5)
A plane-wave DFT calculation with GGA-PBE was carried out for a relaxed structure of YMgMo2.

a b c (Å): 2.976 2.976 9.778
angles (deg): 90.00 90.00 112.12
Fractional positions:
Y (0.000, 0.000, 0.477)
Mo (0.000, 0.000, 0.023)
Mo (0.500, 0.500, 0.221)
Mg (0.500, 0.500, 0.779)

energy relative to the elements	0.306	eV/atom
energy	-7.12	eV/atom
V	20.1	Å³ per atom

=====

(6)
A plane-wave DFT calculation with GGA-PBE was carried out for a relaxed structure of In5Ga3Hg12.

a b c (Å): 14.646 14.646 14.646
angles (deg): 109.47 109.47 109.47
Fractional positions:
In (0.375, 0.125, 0.750)
In (0.000, 0.500, 0.500)
In (0.750, 0.125, 0.875)
In (0.125, 0.375, 0.250)
In (0.000, 0.000, 0.000)
In (0.500, 0.500, 0.000)
In (0.250, 0.875, 0.125)
In (0.500, 0.000, 0.000)
In (0.000, 0.000, 0.500)
In (0.625, 0.875, 0.250)
In (0.125, 0.750, 0.375)
In (0.500, 0.000, 0.500)
In (0.375, 0.250, 0.125)
In (0.500, 0.500, 0.500)
In (0.750, 0.625, 0.375)
In (0.875, 0.625, 0.750)
In (0.250, 0.375, 0.625)
In (0.625, 0.750, 0.875)
In (0.000, 0.500, 0.000)
In (0.875, 0.250, 0.625)
Hg (0.328, 0.759, 0.389)
Hg (0.111, 0.172, 0.241)
Hg (0.439, 0.069, 0.328)
Hg (0.889, 0.828, 0.759)
Hg (0.389, 0.130, 0.561)
Hg (0.741, 0.130, 0.069)
Hg (0.889, 0.061, 0.630)
Hg (0.061, 0.172, 0.431)
Hg (0.172, 0.111, 0.741)
Hg (0.870, 0.259, 0.431)
Hg (0.069, 0.630, 0.741)
Hg (0.439, 0.370, 0.611)
Hg (0.759, 0.328, 0.889)
Hg (0.370, 0.931, 0.759)
Hg (0.630, 0.561, 0.889)
Hg (0.741, 0.611, 0.172)
Hg (0.569, 0.328, 0.939)
Hg (0.328, 0.569, 0.439)
Hg (0.069, 0.439, 0.828)
Hg (0.828, 0.889, 0.259)
Hg (0.431, 0.759, 0.870)
Hg (0.759, 0.431, 0.370)
Hg (0.672, 0.241, 0.611)
Hg (0.931, 0.370, 0.259)
Hg (0.259, 0.389, 0.828)
Hg (0.561, 0.931, 0.672)
Hg (0.389, 0.259, 0.328)
Hg (0.130, 0.741, 0.569)
Hg (0.672, 0.431, 0.561)
Hg (0.061, 0.889, 0.130)
Hg (0.870, 0.611, 0.939)
Hg (0.111, 0.939, 0.370)
Hg (0.828, 0.939, 0.069)
Hg (0.172, 0.061, 0.931)
Hg (0.259, 0.870, 0.931)
Hg (0.241, 0.672, 0.111)
Hg (0.611, 0.870, 0.439)
Hg (0.370, 0.439, 0.111)
Hg (0.931, 0.561, 0.172)
Hg (0.939, 0.828, 0.569)
Hg (0.611, 0.741, 0.672)
Hg (0.630, 0.069, 0.241)
Hg (0.939, 0.111, 0.870)
Hg (0.241, 0.569, 0.630)
Hg (0.130, 0.389, 0.061)
Hg (0.561, 0.630, 0.389)
Hg (0.431, 0.672, 0.061)
Hg (0.569, 0.241, 0.130)
Ga (0.875, 0.125, 0.250)
Ga (0.625, 0.250, 0.375)
Ga (0.125, 0.250, 0.875)
Ga (0.875, 0.750, 0.125)
Ga (0.375, 0.750, 0.625)
Ga (0.125, 0.875, 0.750)
Ga (0.375, 0.625, 0.250)
Ga (0.750, 0.875, 0.625)
Ga (0.625, 0.375, 0.750)
Ga (0.250, 0.125, 0.375)
Ga (0.250, 0.625, 0.875)
Ga (0.750, 0.375, 0.125)

energy relative to the elements	0.143	eV/atom
energy	-1.18	eV/atom
V	30.2	Å³ per atom

=====

(7)
A plane-wave DFT calculation with GGA-PBE was carried out for a relaxed structure of Ho2TmThSe4.

a b c (Å): 4.037 7.055 7.172
angles (deg): 71.09 90.00 90.00
Fractional positions:
Se (0.500, 0.248, 0.742)
Se (0.000, 0.240, 0.263)
Se (0.500, 0.752, 0.258)
Se (0.000, 0.760, 0.737)
Th (0.500, 0.500, 0.000)
Ho (0.000, 0.000, 0.000)
Ho (0.500, 0.000, 0.500)
Tm (0.000, 0.500, 0.500)

energy	-6.01	eV/atom
energy relative to the elements, uncorrected	-1641	meV per atom
V	24.2	Å³ per atom

=====

(8)
A plane-wave DFT calculation with GGA-PBE was carried out for a relaxed structure of DyTmAlOs.

a b c (Å): 4.906 4.906 4.906
angles (deg): 60.00 60.00 60.00
Fractional positions:
Dy (0.000, 0.000, 0.000)
Al (0.750, 0.750, 0.750)
Tm (0.500, 0.500, 0.500)
Os (0.250, 0.250, 0.250)

energy relative to the elements	-0.301	eV/atom
energy	-6.31	eV/atom
V	20.9	Å³ per atom